DFT (PBE) results for crystalline SiPbBr at its relaxed geometry.

## Properties
The calculation puts the energy above the lowest structure with this stoichiometry at 2.76 kcal/mol of atoms. The formation energy from raw total energies is 0.8 eV per formula unit.

abc: 3.541 3.541 7.312
angles: 90.00 90.00 120.00
Fractional positions:
Br (0.000, 0.000, 0.940)
Pb (0.667, 0.333, 0.376)
Si (0.333, 0.667, 0.684)



DFT (PBE) results for crystalline LiSiIr2 at its relaxed geometry.

## Properties
The formation energy from raw total energies is -1.3 eV per formula unit.

abc: 5.214 5.214 5.214
angles: 147.95 134.11 57.07
Fractional positions:
Li (0.492, 0.492, 0.000)
Si (0.228, 0.728, 0.500)
Ir (0.762, 0.262, 0.500)
Ir (0.018, 0.018, 0.000)



DFT (PBE) results for crystalline As4PCl2 at its relaxed geometry.

## Properties
The formation energy from raw total energies is 4.2 eV per formula unit.

abc: 5.070 5.070 7.613
angles: 70.55 70.55 90.00
Fractional positions:
As (0.833, 0.833, 0.334)
Cl (0.384, 0.384, 0.232)
Cl (0.616, 0.616, 0.768)
As (0.167, 0.167, 0.666)
As (0.500, 0.000, 0.000)
P (0.000, 0.000, 0.000)
As (0.000, 0.500, 0.000)



DFT (PBE) results for crystalline PrAlGa3 at its relaxed geometry.

## Properties
Its formation energy is -0.3129 eV/atom. The calculation puts the energy above the lowest structure with this stoichiometry at 2.02 kcal/mol of atoms.

abc: 6.054 6.678 6.246
angles: 122.32 90.02 90.00
Fractional positions:
Ga (0.250, 0.385, 0.146)
Ga (0.750, 0.239, 0.854)
Ga (0.250, 0.761, 0.146)
Pr (0.750, 0.710, 0.420)
Ga (0.750, 0.615, 0.854)
Pr (0.250, 0.290, 0.580)
Ga (0.750, 0.207, 0.415)
Ga (0.250, 0.793, 0.585)
Al (0.500, 0.000, 0.000)
Al (0.000, 0.000, 0.000)



DFT (PBE) results for crystalline BaErP at its relaxed geometry.

## Properties
Its formation energy is 0.2457 eV/atom.

abc: 5.146 5.146 11.443
angles: 90.00 90.00 90.00
Fractional positions:
Ba (0.000, 0.000, 0.250)
P (0.500, 0.500, 0.000)
Er (0.500, 0.000, 0.500)
Er (0.000, 0.500, 0.000)
Ba (0.000, 0.000, 0.750)
P (0.500, 0.500, 0.500)



DFT (PBE) results for crystalline Cs2CrCBr6 at its relaxed geometry.

## Properties
The formation energy from raw total energies is -4.5 eV per formula unit.

abc: 7.228 7.228 7.894
angles: 62.75 62.75 90.00
Fractional positions:
Br (0.792, 0.792, 0.415)
Br (0.741, 0.259, 0.000)
Br (0.741, 0.741, 0.000)
Cr (0.000, 0.000, 0.000)
Br (0.208, 0.208, 0.585)
Br (0.259, 0.741, 0.000)
Cs (0.750, 0.250, 0.500)
C (0.500, 0.500, 0.000)
Cs (0.250, 0.750, 0.500)
Br (0.259, 0.259, 0.000)